1.
Computed, not measured: an optimized crystal structure of LaCoSe2 at the PBE level of DFT.

Cell and atoms, written as POSCAR:
```
LaCoSe2
1.0
2.0268 1.1701 6.3293
-2.0268 1.1701 6.3293
0.0000 -2.3403 6.3293
La Co Se
1 1 2
direct
0.0000 0.0000 0.0000
0.1890 0.1890 0.1890
0.5672 0.5672 0.5672
0.7673 0.7673 0.7673
```

Computed properties:
* symmetry: No. 160
* calculated total energy: -5.72 eV/atom
* crystal system: trigonal
* E_form (uncorrected): -3.88 eV per formula unit
* distance to the lowest polymorph of the same formula: 6.7 kJ per mole of atoms

2.
Computed, not measured: an optimized crystal structure of CaZn3Ag at the PBE level of DFT.

Cell and atoms, written as POSCAR:
```
CaZn3Ag
1.0
2.9168 -2.9284 0.0000
2.9168 2.9284 0.0000
-2.8748 0.0000 5.8702
Ca Zn Ag
1 3 1
direct
0.0000 0.0000 0.0000
0.2557 0.7607 0.5159
0.3913 0.3913 0.7807
0.7607 0.2557 0.5159
0.6113 0.6113 0.2235
```

Computed properties:
* symmetry: No. 8
* calculated total energy: -1.94 eV/atom
* DFT formation energy: -201 meV/atom
* crystal system: monoclinic
* distance to the lowest polymorph of the same formula: 0.0 kJ per mole of atoms
* N(E_F): 2.4 states/eV/f.u.

Which value of distance to the lowest polymorph of the same formula does entry 2 give?
0.0 kJ per mole of atoms

What is the distance to the lowest polymorph of the same formula in the second record?
0.0 kJ per mole of atoms

Please write out number 2 again, unchanged.
Computed, not measured: an optimized crystal structure of CaZn3Ag at the PBE level of DFT.

Cell and atoms, written as POSCAR:
```
CaZn3Ag
1.0
2.9168 -2.9284 0.0000
2.9168 2.9284 0.0000
-2.8748 0.0000 5.8702
Ca Zn Ag
1 3 1
direct
0.0000 0.0000 0.0000
0.2557 0.7607 0.5159
0.3913 0.3913 0.7807
0.7607 0.2557 0.5159
0.6113 0.6113 0.2235
```

Computed properties:
* symmetry: No. 8
* calculated total energy: -1.94 eV/atom
* DFT formation energy: -201 meV/atom
* crystal system: monoclinic
* distance to the lowest polymorph of the same formula: 0.0 kJ per mole of atoms
* N(E_F): 2.4 states/eV/f.u.